No. 1
CaAlPt3 | PBE | optimized geometry Values from VASP.

Results
Excess energy over the best structure of this formula in the dataset (meV per atom): 0
Energy of formation (meV/atom): -436
Space-group type: Pm-3m

Quantum ESPRESSO input file:
```
&SYSTEM
  ibrav = 0, nat = 5, ntyp = 3
/
ATOMIC_SPECIES
Ca 40.08 Ca.upf
Al 26.98 Al.upf
Pt 195.08 Pt.upf
CELL_PARAMETERS angstrom
4.664 0.000 0.000
0.000 4.664 0.000
0.000 0.000 4.664
ATOMIC_POSITIONS angstrom
Ca 0.000 0.000 0.000
Al 2.332 2.332 2.332
Pt 0.000 2.332 2.332
Pt 2.332 0.000 2.332
Pt 2.332 2.332 0.000
```

=====

No. 2
Ni21B6Sb2 | PBE | optimized geometry Values from VASP.

Results
Space-group type: Fm-3m
ΔE_f (raw) (eV/atom): -0.260

Quantum ESPRESSO input file:
```
&SYSTEM
  ibrav = 0, nat = 29, ntyp = 3
/
ATOMIC_SPECIES
Ni 58.69 Ni.upf
B 10.81 B.upf
Sb 121.76 Sb.upf
CELL_PARAMETERS angstrom
0.000 5.301 5.301
5.301 0.000 5.301
5.301 5.301 0.000
ATOMIC_POSITIONS angstrom
Ni 0.000 0.000 0.000
Ni 1.782 1.782 0.000
Ni 3.519 3.519 0.000
Ni 1.782 0.000 1.782
Ni 5.301 3.519 1.782
Ni 3.519 0.000 3.519
Ni 5.301 1.782 3.519
Ni 6.525 4.077 4.077
Ni 0.000 1.782 1.782
Ni 3.519 5.301 1.782
Ni 3.519 1.782 5.301
Ni 4.077 4.077 4.077
Ni 6.525 6.525 4.077
Ni 6.525 4.077 6.525
Ni 4.077 6.525 4.077
Ni 4.077 4.077 6.525
Ni 6.525 6.525 6.525
Ni 0.000 3.519 3.519
Ni 1.782 5.301 3.519
Ni 1.782 3.519 5.301
Ni 4.077 6.525 6.525
B 5.301 5.301 2.875
B 5.301 2.875 5.301
B 7.726 5.301 5.301
B 2.875 5.301 5.301
B 5.301 7.726 5.301
B 5.301 5.301 7.726
Sb 2.650 2.650 2.650
Sb 7.951 7.951 7.951
```

=====

No. 3
KBaInTe3 | PBE | optimized geometry Values from VASP.

Results
Space-group type: P-1
ΔE_f (raw) (eV/atom): -0.864

Quantum ESPRESSO input file:
```
&SYSTEM
  ibrav = 0, nat = 12, ntyp = 4
/
ATOMIC_SPECIES
K 39.10 K.upf
Ba 137.33 Ba.upf
In 114.82 In.upf
Te 127.60 Te.upf
CELL_PARAMETERS angstrom
5.887 0.000 0.000
0.105 9.489 0.000
2.910 1.880 8.993
ATOMIC_POSITIONS angstrom
K 1.492 0.882 1.742
K 7.410 10.487 7.251
Ba 1.508 5.611 1.908
Ba 7.394 5.758 7.085
In 4.432 8.041 4.659
In 4.470 3.328 4.334
Te 1.520 3.296 4.562
Te 4.452 8.101 7.472
Te 4.453 3.633 7.136
Te 4.449 7.736 1.857
Te 4.450 3.268 1.521
Te 7.383 8.073 4.431
```

=====

No. 4
La6P2HI3 | PBE | optimized geometry Values from VASP.

Results
Uncorrected energy (eV/atom): -5.173
Space-group type: C2/m

Quantum ESPRESSO input file:
```
&SYSTEM
  ibrav = 0, nat = 12, ntyp = 4
/
ATOMIC_SPECIES
La 138.91 La.upf
P 30.97 P.upf
H 1.01 H.upf
I 126.90 I.upf
CELL_PARAMETERS angstrom
3.652 -6.307 0.000
3.652 6.307 0.000
-2.491 0.000 7.775
ATOMIC_POSITIONS angstrom
La -0.040 2.085 6.257
La 1.159 0.000 1.564
La -0.040 -2.085 6.257
La 4.852 2.085 1.518
La 3.653 0.000 6.212
La 4.852 -2.085 1.518
P 3.652 4.204 0.000
P 3.652 -4.204 0.000
H 3.652 0.000 0.000
I -1.246 0.000 3.888
I 2.406 2.168 3.888
I 2.406 -2.168 3.888
```

=====

No. 5
CrReTcSe2 | PBE | optimized geometry Values from VASP.

Results
Space-group type: P4/mmm
ΔE_f (raw) (eV/atom): 1.410

Quantum ESPRESSO input file:
```
&SYSTEM
  ibrav = 0, nat = 5, ntyp = 4
/
ATOMIC_SPECIES
Cr 52.00 Cr.upf
Re 186.21 Re.upf
Tc 98.00 Tc.upf
Se 78.96 Se.upf
CELL_PARAMETERS angstrom
4.613 0.000 0.000
0.000 4.613 0.000
0.000 0.000 4.639
ATOMIC_POSITIONS angstrom
Cr 0.000 0.000 0.000
Re 0.000 0.000 2.319
Tc 2.306 2.306 2.319
Se 0.000 2.306 0.000
Se 2.306 0.000 0.000
```

=====

No. 6
MgH8Pd5 | PBE | optimized geometry Values from VASP.

Results
Uncorrected energy (eV/atom): -3.996
Space-group type: P-1

Quantum ESPRESSO input file:
```
&SYSTEM
  ibrav = 0, nat = 14, ntyp = 3
/
ATOMIC_SPECIES
Mg 24.30 Mg.upf
H 1.01 H.upf
Pd 106.42 Pd.upf
CELL_PARAMETERS angstrom
3.080 0.000 0.000
-0.038 5.459 0.000
-0.018 -0.575 7.330
ATOMIC_POSITIONS angstrom
Mg 0.000 0.000 0.000
H -0.016 2.484 1.904
H 1.514 1.658 0.269
H 1.518 -0.065 5.407
H 1.515 1.246 3.846
H 1.510 3.638 3.484
H 1.507 4.949 1.923
H 1.512 3.226 7.061
H 3.041 2.400 5.426
Pd -0.019 2.730 0.000
Pd -0.035 4.180 2.663
Pd 1.490 3.589 5.298
Pd 1.535 1.295 2.031
Pd 3.060 0.704 4.667
```

=====

No. 7
Tl2Si2Bi | PBE | optimized geometry Values from VASP.

Results
Excess energy over the best structure of this formula in the dataset (meV per atom): 229
Space-group type: I4/mmm
ΔE_f (raw) (eV/atom): 0.476

Quantum ESPRESSO input file:
```
&SYSTEM
  ibrav = 0, nat = 10, ntyp = 3
/
ATOMIC_SPECIES
Tl 204.38 Tl.upf
Si 28.09 Si.upf
Bi 208.98 Bi.upf
CELL_PARAMETERS angstrom
4.373 0.000 0.000
0.000 4.373 0.000
0.000 0.000 14.220
ATOMIC_POSITIONS angstrom
Tl 0.000 2.186 3.555
Tl 0.000 2.186 10.665
Tl 2.186 0.000 3.555
Tl 2.186 0.000 10.665
Si 0.000 0.000 1.156
Si 0.000 0.000 13.064
Si 2.186 2.186 5.954
Si 2.186 2.186 8.266
Bi 0.000 0.000 7.110
Bi 2.186 2.186 0.000
```

=====

No. 8
ZrNb3Pb | PBE | optimized geometry Values from VASP.

Results
Excess energy over the best structure of this formula in the dataset (meV per atom): 312
Energy of formation (meV/atom): 1766
Space-group type: Pm-3m

Quantum ESPRESSO input file:
```
&SYSTEM
  ibrav = 0, nat = 5, ntyp = 3
/
ATOMIC_SPECIES
Zr 91.22 Zr.upf
Nb 92.91 Nb.upf
Pb 207.20 Pb.upf
CELL_PARAMETERS angstrom
5.113 0.000 0.000
0.000 5.113 0.000
0.000 0.000 5.113
ATOMIC_POSITIONS angstrom
Zr 0.000 0.000 0.000
Nb 0.000 2.556 2.556
Nb 2.556 0.000 2.556
Nb 2.556 2.556 0.000
Pb 2.556 2.556 2.556
```

=====

No. 9
ZrCd2Tc | PBE | optimized geometry Values from VASP.

Results
Excess energy over the best structure of this formula in the dataset (meV per atom): 111
Energy of formation (meV/atom): 109
Space-group type: Imm2

Quantum ESPRESSO input file:
```
&SYSTEM
  ibrav = 0, nat = 8, ntyp = 3
/
ATOMIC_SPECIES
Zr 91.22 Zr.upf
Cd 112.41 Cd.upf
Tc 98.00 Tc.upf
CELL_PARAMETERS angstrom
3.432 0.000 0.000
0.000 4.928 0.000
0.000 0.000 9.307
ATOMIC_POSITIONS angstrom
Zr 0.000 0.000 0.000
Zr 1.716 2.464 4.653
Cd 0.000 0.000 4.990
Cd 0.000 2.464 7.247
Cd 1.716 0.000 2.593
Cd 1.716 2.464 0.337
Tc 0.000 2.464 2.669
Tc 1.716 0.000 7.323
```

=====

No. 10
LaNiSe2 | PBE | optimized geometry Values from VASP.

Results
Space-group type: I-42d
ΔE_f (raw) (eV/atom): -0.933

Quantum ESPRESSO input file:
```
&SYSTEM
  ibrav = 0, nat = 16, ntyp = 3
/
ATOMIC_SPECIES
La 138.91 La.upf
Ni 58.69 Ni.upf
Se 78.96 Se.upf
CELL_PARAMETERS angstrom
5.716 0.000 0.000
0.000 5.716 0.000
0.000 0.000 13.514
ATOMIC_POSITIONS angstrom
La 0.000 0.000 0.000
La 0.000 2.858 3.378
La 2.858 0.000 10.135
La 2.858 2.858 6.757
Ni 0.000 0.000 6.757
Ni 0.000 2.858 10.135
Ni 2.858 0.000 3.378
Ni 2.858 2.858 0.000
Se 0.997 1.429 8.446
Se 1.429 3.855 11.825
Se 1.429 4.719 5.068
Se 1.861 1.429 1.689
Se 3.855 4.287 1.689
Se 4.287 0.997 5.068
Se 4.287 1.861 11.825
Se 4.719 4.287 8.446
```

=====

No. 11
Rb2LaCdO | PBE | optimized geometry Values from VASP.

Results
Space-group type: P4/mmm
ΔE_f (raw) (eV/atom): -0.629

Quantum ESPRESSO input file:
```
&SYSTEM
  ibrav = 0, nat = 5, ntyp = 4
/
ATOMIC_SPECIES
Rb 85.47 Rb.upf
La 138.91 La.upf
Cd 112.41 Cd.upf
O 16.00 O.upf
CELL_PARAMETERS angstrom
8.211 0.000 0.000
0.000 8.211 0.000
0.000 0.000 4.307
ATOMIC_POSITIONS angstrom
Rb 0.000 4.106 0.000
Rb 4.106 0.000 0.000
La 0.000 0.000 0.000
Cd 4.106 4.106 2.153
O 0.000 0.000 2.153
```

=====

No. 12
Ba2BiSe4 | PBE | optimized geometry Values from VASP.

Results
Excess energy over the best structure of this formula in the dataset (meV per atom): 113
Space-group type: I4/mmm
ΔE_f (raw) (eV/atom): -1.119

Quantum ESPRESSO input file:
```
&SYSTEM
  ibrav = 0, nat = 14, ntyp = 3
/
ATOMIC_SPECIES
Ba 137.33 Ba.upf
Bi 208.98 Bi.upf
Se 78.96 Se.upf
CELL_PARAMETERS angstrom
5.469 0.000 0.000
0.000 5.469 0.000
0.000 0.000 16.623
ATOMIC_POSITIONS angstrom
Ba 0.000 0.000 2.286
Ba 0.000 0.000 14.337
Ba 2.735 2.735 6.026
Ba 2.735 2.735 10.597
Bi 0.000 0.000 8.311
Bi 2.735 2.735 0.000
Se 0.000 0.000 5.445
Se 0.000 0.000 11.178
Se 0.000 2.735 0.000
Se 0.000 2.735 8.311
Se 2.735 0.000 0.000
Se 2.735 0.000 8.311
Se 2.735 2.735 2.866
Se 2.735 2.735 13.756
```

=====

No. 13
BaPdSCl2 | PBE | optimized geometry Values from VASP.

Results
Excess energy over the best structure of this formula in the dataset (meV per atom): 974
Space-group type: P4/mmm
ΔE_f (raw) (eV/atom): -0.283

Quantum ESPRESSO input file:
```
&SYSTEM
  ibrav = 0, nat = 5, ntyp = 4
/
ATOMIC_SPECIES
Ba 137.33 Ba.upf
Pd 106.42 Pd.upf
S 32.06 S.upf
Cl 35.45 Cl.upf
CELL_PARAMETERS angstrom
5.920 0.000 0.000
0.000 5.920 0.000
0.000 0.000 6.323
ATOMIC_POSITIONS angstrom
Ba 0.000 0.000 0.000
Pd 2.960 2.960 3.161
S 0.000 0.000 3.161
Cl 0.000 2.960 0.000
Cl 2.960 0.000 0.000
```

=====

No. 14
Pu2NiN | PBE | optimized geometry Values from VASP.

Results
Excess energy over the best structure of this formula in the dataset (meV per atom): 0
Space-group type: R-3m
ΔE_f (raw) (eV/atom): -0.470

Quantum ESPRESSO input file:
```
&SYSTEM
  ibrav = 0, nat = 12, ntyp = 3
/
ATOMIC_SPECIES
Pu 244.00 Pu.upf
Ni 58.69 Ni.upf
N 14.01 N.upf
CELL_PARAMETERS angstrom
3.519 0.000 0.000
-1.759 3.047 0.000
0.000 0.000 19.950
ATOMIC_POSITIONS angstrom
Pu 0.000 0.000 4.727
Pu 0.000 0.000 15.223
Pu 0.000 2.032 8.573
Pu 0.000 2.032 18.027
Pu 1.759 1.016 1.923
Pu 1.759 1.016 11.377
Ni 0.000 0.000 0.000
Ni 0.000 2.032 13.300
Ni 1.759 1.016 6.650
N 0.000 0.000 9.975
N 0.000 2.032 3.325
N 1.759 1.016 16.625
```

=====

No. 15
RbNdS2 | PBE | optimized geometry Values from VASP.

Results
Space-group type: R-3m
ΔE_f (raw) (eV/atom): -1.824

Quantum ESPRESSO input file:
```
&SYSTEM
  ibrav = 0, nat = 12, ntyp = 3
/
ATOMIC_SPECIES
Rb 85.47 Rb.upf
Nd 144.24 Nd.upf
S 32.06 S.upf
CELL_PARAMETERS angstrom
4.227 0.000 0.000
-2.114 3.661 0.000
0.000 0.000 23.152
ATOMIC_POSITIONS angstrom
Rb 0.000 0.000 0.000
Rb 0.000 2.441 15.435
Rb 2.114 1.220 7.717
Nd 0.000 0.000 11.576
Nd 0.000 2.441 3.859
Nd 2.114 1.220 19.294
S 0.000 0.000 5.381
S 0.000 0.000 17.771
S 0.000 2.441 10.054
S 0.000 2.441 20.816
S 2.114 1.220 2.336
S 2.114 1.220 13.099
```

=====

No. 16
NbSiTeN2 | PBE | optimized geometry Values from VASP.

Results
Excess energy over the best structure of this formula in the dataset (meV per atom): 0
Space-group type: P4/mmm
ΔE_f (raw) (eV/atom): 0.575

Quantum ESPRESSO input file:
```
&SYSTEM
  ibrav = 0, nat = 5, ntyp = 4
/
ATOMIC_SPECIES
Nb 92.91 Nb.upf
Si 28.09 Si.upf
Te 127.60 Te.upf
N 14.01 N.upf
CELL_PARAMETERS angstrom
4.054 0.000 0.000
0.000 4.054 0.000
0.000 0.000 5.795
ATOMIC_POSITIONS angstrom
Nb 0.000 0.000 0.000
Si 2.027 2.027 2.898
Te 0.000 0.000 2.898
N 0.000 2.027 0.000
N 2.027 0.000 0.000
```